! MgPW2 | the Alexandria database | PBE | optimized geometry; values from VASP
! * space group: P4/mmm (123)
! * excess energy over the best structure of this formula in the dataset: 52 kJ/mol of formula units
! * E: -31.99 eV for the cell shown
! * energy relative to the elements: 0.231 eV/atom
&SYSTEM
  ibrav = 0, nat = 4, ntyp = 3
/
ATOMIC_SPECIES
Mg 24.30 Mg.upf
W 183.84 W.upf
P 30.97 P.upf
CELL_PARAMETERS angstrom
-1.243 -0.191 2.719
1.917 -2.186 0.723
4.646 4.891 2.469
ATOMIC_POSITIONS angstrom
Mg 1.498 0.034 2.338
W 4.376 4.607 2.325
W 2.593 2.730 1.378
P 3.821 2.480 3.573



! CeEr2CdC | the Alexandria database | PBE | optimized geometry; values from VASP
! * space group: P4/mmm (123)
! * E: -26.58 eV for the cell shown
! * energy relative to the elements: -0.277 eV/atom
&SYSTEM
  ibrav = 0, nat = 5, ntyp = 4
/
ATOMIC_SPECIES
Cd 112.41 Cd.upf
Er 167.26 Er.upf
Ce 140.12 Ce.upf
C 12.01 C.upf
CELL_PARAMETERS angstrom
-0.021 4.392 2.182
-4.065 -1.239 2.455
2.750 -1.798 3.646
ATOMIC_POSITIONS angstrom
Cd -0.668 0.677 4.141
Er 1.375 -0.899 1.823
Ce -0.010 2.196 1.091
Er -2.032 -0.619 1.227
C 0.000 0.000 0.000



! K5Rh2F12 | the Alexandria database | PBE | optimized geometry; values from VASP
! * space group: C2/m (12)
! * excess energy over the best structure of this formula in the dataset: 0 kJ/mol of formula units
! * E: -83.19 eV for the cell shown
! * formation energy from raw total energies: -40.55 eV per formula unit
&SYSTEM
  ibrav = 0, nat = 19, ntyp = 3
/
ATOMIC_SPECIES
K 39.10 K.upf
F 19.00 F.upf
Rh 102.91 Rh.upf
CELL_PARAMETERS angstrom
-5.060 3.668 0.810
-1.113 -7.483 2.422
3.871 3.952 6.291
ATOMIC_POSITIONS angstrom
K 1.936 1.976 3.146
K 0.257 -0.888 5.627
F -0.234 0.553 8.104
Rh -3.798 2.753 0.608
F 0.346 -3.209 4.423
F -2.187 -1.373 4.828
K -1.542 -2.738 2.768
F -4.558 1.388 1.817
F 0.570 0.565 0.999
F 2.257 -1.252 7.706
K -0.760 2.874 6.755
F -2.648 3.345 5.100
F -1.955 2.407 1.402
Rh -1.262 0.915 0.202
F -0.115 1.509 4.695
F -2.871 -0.429 8.524
F -2.068 -0.417 1.419
K -2.558 1.024 3.896
F -0.346 -2.270 8.121



! BeRe2Mo | the Alexandria database | PBE | optimized geometry; values from VASP
! * space group: Cmm2 (35)
! * E: -38.66 eV for the cell shown
! * energy relative to the elements: 0.198 eV/atom
&SYSTEM
  ibrav = 0, nat = 4, ntyp = 3
/
ATOMIC_SPECIES
Be 9.01 Be.upf
Re 186.21 Re.upf
Mo 95.94 Mo.upf
CELL_PARAMETERS angstrom
2.663 -0.037 0.000
-0.865 2.518 0.000
0.000 0.000 8.380
ATOMIC_POSITIONS angstrom
Be 0.000 0.000 4.165
Re 0.899 1.241 2.270
Re 0.000 0.000 0.013
Mo 0.899 1.241 6.122



! AcPrMg2 | the Alexandria database | PBE | optimized geometry; values from VASP
! * space group: P4/mmm (123)
! * E: -12.45 eV for the cell shown
! * energy relative to the elements: -0.093 eV/atom
&SYSTEM
  ibrav = 0, nat = 4, ntyp = 3
/
ATOMIC_SPECIES
Ac 227.00 Ac.upf
Mg 24.30 Mg.upf
Pr 140.91 Pr.upf
CELL_PARAMETERS angstrom
-0.130 -0.630 -3.963
-3.919 -0.832 0.261
-1.730 7.774 -1.179
ATOMIC_POSITIONS angstrom
Ac -2.889 3.156 -2.440
Mg -0.396 1.781 -0.270
Pr -2.024 -0.731 -1.851
Mg -1.333 5.992 -0.909



! Zn2CdH2 | the Alexandria database | PBE | optimized geometry; values from VASP
! * space group: P4/mbm (127)
! * excess energy over the best structure of this formula in the dataset: 0 kJ/mol of formula units
! * E: -17.28 eV for the cell shown
&SYSTEM
  ibrav = 0, nat = 10, ntyp = 3
/
ATOMIC_SPECIES
H 1.01 H.upf
Zn 65.41 Zn.upf
Cd 112.41 Cd.upf
CELL_PARAMETERS angstrom
7.038 0.000 0.000
0.000 7.038 0.000
0.000 0.000 2.858
ATOMIC_POSITIONS angstrom
H 5.440 1.921 0.000
Zn 0.852 4.371 1.429
Zn 2.667 0.852 1.429
Zn 4.371 6.186 1.429
Cd 0.000 0.000 0.000
H 5.117 5.440 0.000
H 1.598 5.117 0.000
Zn 6.186 2.667 1.429
Cd 3.519 3.519 0.000
H 1.921 1.598 0.000



! In7Te | the Alexandria database | PBE | optimized geometry; values from VASP
! * space group: Fm-3m (225)
! * E: -22.40 eV for the cell shown
! * formation energy from raw total energies: -0.08 eV per formula unit
&SYSTEM
  ibrav = 0, nat = 8, ntyp = 2
/
ATOMIC_SPECIES
Te 127.60 Te.upf
In 114.82 In.upf
CELL_PARAMETERS angstrom
-3.040 2.167 5.752
-6.652 -1.286 1.056
-1.899 -4.525 4.789
ATOMIC_POSITIONS angstrom
Te 0.000 0.000 0.000
In -2.469 -1.179 5.270
In -4.275 -2.906 2.923
In -1.520 1.084 2.876
In -3.326 -0.643 0.528
In -0.949 -2.263 2.395
In -5.795 -1.822 5.798
In -4.846 0.440 3.404



! SrRe2PdS | the Alexandria database | PBE | optimized geometry; values from VASP
! * space group: P4/mmm (123)
! * E: -28.35 eV for the cell shown
! * formation energy from raw total energies: 7.55 eV per formula unit
&SYSTEM
  ibrav = 0, nat = 5, ntyp = 4
/
ATOMIC_SPECIES
Sr 87.62 Sr.upf
S 32.06 S.upf
Re 186.21 Re.upf
Pd 106.42 Pd.upf
CELL_PARAMETERS angstrom
-4.212 1.607 -1.744
-2.354 -4.112 1.896
-0.808 2.369 4.135
ATOMIC_POSITIONS angstrom
Sr -3.687 -0.068 2.144
S -1.177 -2.056 0.948
Re -0.404 1.185 2.067
Pd 0.000 0.000 0.000
Re -2.106 0.804 -0.872